! PuRe2C2 | Alexandria via LeMat-Bulk | GGA-PBE | optimized geometry; values from VASP
! Volume in A^3/atom: 14.17
! Size of the total moment in μB per formula unit: 4.75
! VASP energy in eV/f.u.: -57.214
! Calculated formation energy in kJ/mol of atoms: 8.9
&SYSTEM
  ibrav = 0, nat = 10, ntyp = 3
/
ATOMIC_SPECIES
Pu 244.00 Pu.upf
Re 186.21 Re.upf
C 12.01 C.upf
CELL_PARAMETERS angstrom
0.0000 4.4351 4.7184
3.3854 0.0000 4.7184
3.3854 4.4351 0.0000
ATOMIC_POSITIONS crystal
Pu 0.1250 0.1250 0.1250
Pu 0.8750 0.8750 0.8750
Re 0.2324 0.2324 0.5176
Re 0.4824 0.4824 0.7676
Re 0.5176 0.5176 0.2324
Re 0.7676 0.7676 0.4824
C 0.1834 0.5666 0.1834
C 0.4334 0.8166 0.4334
C 0.5666 0.1834 0.5666
C 0.8166 0.4334 0.8166

! CeAs2PdO8 | Alexandria via LeMat-Bulk | GGA-PBE | optimized geometry; values from VASP
! Volume in A^3/atom: 15.08
! Size of the total moment in μB per formula unit: 2.08
! VASP energy in eV/f.u.: -76.985
&SYSTEM
  ibrav = 0, nat = 12, ntyp = 4
/
ATOMIC_SPECIES
Ce 140.12 Ce.upf
As 74.92 As.upf
Pd 106.42 Pd.upf
O 16.00 O.upf
CELL_PARAMETERS angstrom
5.5148 0.0000 0.0000
-2.7574 4.7760 0.0000
0.0000 0.0000 6.8688
ATOMIC_POSITIONS crystal
Ce 0.0000 0.0000 0.0000
As 0.3333 0.6667 0.2006
As 0.6667 0.3333 0.7994
Pd 0.0000 0.0000 0.5000
O 0.1592 0.3183 0.2701
O 0.1592 0.8408 0.2701
O 0.3183 0.1592 0.7299
O 0.3333 0.6667 0.9541
O 0.6667 0.3333 0.0459
O 0.6817 0.8408 0.2701
O 0.8408 0.1592 0.7299
O 0.8408 0.6817 0.7299

! ReNi2Pt | Alexandria via LeMat-Bulk | GGA-PBE | optimized geometry; values from VASP
! Volume in A^3/atom: 13.01
! Size of the total moment in μB per formula unit: 0.00
! VASP energy in eV/f.u.: -30.250
! Calculated formation energy in kJ/mol of atoms: -4.8
&SYSTEM
  ibrav = 0, nat = 4, ntyp = 3
/
ATOMIC_SPECIES
Re 186.21 Re.upf
Ni 58.69 Ni.upf
Pt 195.08 Pt.upf
CELL_PARAMETERS angstrom
-1.8343 1.8343 3.8655
1.8343 -1.8343 3.8655
1.8343 1.8343 -3.8655
ATOMIC_POSITIONS crystal
Re 0.0000 0.0000 0.0000
Ni 0.5000 0.5000 0.0000
Ni 0.7500 0.2500 0.5000
Pt 0.2500 0.7500 0.5000

! Np2TiVN5 | Alexandria via LeMat-Bulk | GGA-PBE | optimized geometry; values from VASP
! Volume in A^3/atom: 11.40
! Size of the total moment in μB per formula unit: 6.15
! VASP energy in eV/f.u.: -95.296
&SYSTEM
  ibrav = 0, nat = 18, ntyp = 4
/
ATOMIC_SPECIES
Np 237.00 Np.upf
Ti 47.87 Ti.upf
V 50.94 V.upf
N 14.01 N.upf
CELL_PARAMETERS angstrom
1.6144 -6.4320 0.0000
1.6144 6.4320 0.0000
0.0000 0.0000 9.8826
ATOMIC_POSITIONS crystal
Np 0.1099 0.8901 0.5000
Np 0.1451 0.8549 0.1144
Np 0.8549 0.1451 0.6144
Np 0.8901 0.1099 0.0000
Ti 0.2111 0.7889 0.8232
Ti 0.7889 0.2111 0.3232
V 0.4701 0.5299 0.2781
V 0.5299 0.4701 0.7781
N 0.0525 0.9475 0.8735
N 0.2805 0.7195 0.4735
N 0.3185 0.6815 0.1904
N 0.3707 0.6293 0.8155
N 0.4905 0.5095 0.5958
N 0.5095 0.4905 0.0958
N 0.6293 0.3707 0.3155
N 0.6815 0.3185 0.6904
N 0.7195 0.2805 0.9735
N 0.9475 0.0525 0.3735

! Ce4Pm3Ge4 | Alexandria via LeMat-Bulk | GGA-PBE | optimized geometry; values from VASP
! Volume in A^3/atom: 26.76
! Size of the total moment in μB per formula unit: 0.00
! VASP energy in eV/f.u.: -62.087
! Calculated formation energy in kJ/mol of atoms: -49.4
&SYSTEM
  ibrav = 0, nat = 11, ntyp = 3
/
ATOMIC_SPECIES
Ce 140.12 Ce.upf
Pm 145.00 Pm.upf
Ge 72.64 Ge.upf
CELL_PARAMETERS angstrom
-1.9938 4.8190 7.6599
1.9938 -4.8190 7.6599
1.9938 4.8190 -7.6599
ATOMIC_POSITIONS crystal
Ce 0.0252 0.8089 0.2164
Ce 0.4075 0.1911 0.2164
Ce 0.5925 0.8089 0.7836
Ce 0.9748 0.1911 0.7836
Pm 0.0000 0.5000 0.5000
Pm 0.3975 0.3975 0.0000
Pm 0.6025 0.6025 0.0000
Ge 0.2388 0.7388 0.5000
Ge 0.2767 0.0000 0.2767
Ge 0.7233 0.0000 0.7233
Ge 0.7612 0.2612 0.5000

! Be3IrPt2 | Alexandria via LeMat-Bulk | GGA-PBE | optimized geometry; values from VASP
! Volume in A^3/atom: 11.35
! Size of the total moment in μB per formula unit: 0.00
! VASP energy in eV/f.u.: -36.610
! Calculated formation energy in kJ/mol of atoms: -72.2
&SYSTEM
  ibrav = 0, nat = 6, ntyp = 3
/
ATOMIC_SPECIES
Be 9.01 Be.upf
Ir 192.22 Ir.upf
Pt 195.08 Pt.upf
CELL_PARAMETERS angstrom
2.8386 0.0000 0.0000
0.0000 2.8386 0.0000
0.0000 0.0000 8.4527
ATOMIC_POSITIONS crystal
Be 0.0000 0.0000 0.0000
Be 0.0000 0.0000 0.3497
Be 0.0000 0.0000 0.6503
Ir 0.5000 0.5000 0.5000
Pt 0.5000 0.5000 0.1669
Pt 0.5000 0.5000 0.8331

! BC3 | Alexandria via LeMat-Bulk | GGA-PBE | optimized geometry; values from VASP
! Volume in A^3/atom: 6.24
! Size of the total moment in μB per formula unit: 0.00
! VASP energy in eV/f.u.: -33.175
! Calculated formation energy in kJ/mol of atoms: 28.3
&SYSTEM
  ibrav = 0, nat = 12, ntyp = 2
/
ATOMIC_SPECIES
B 10.81 B.upf
C 12.01 C.upf
CELL_PARAMETERS angstrom
3.6827 0.0000 0.0000
-1.7362 4.0856 0.0000
-0.0638 -1.5009 4.9749
ATOMIC_POSITIONS crystal
B 0.0000 0.0000 0.0000
B 0.2839 0.6736 0.1269
B 0.6612 0.9834 0.6735
C 0.0139 0.6482 0.8514
C 0.0259 0.6619 0.3771
C 0.2632 0.6466 0.6178
C 0.3612 0.3250 0.5388
C 0.3887 0.3366 0.0404
C 0.6161 0.3367 0.7945
C 0.6218 0.3373 0.2945
C 0.7044 0.0112 0.2200
C 0.9637 0.9954 0.4557

! LaNb2Ge2 | Alexandria via LeMat-Bulk | GGA-PBE | optimized geometry; values from VASP
! Volume in A^3/atom: 22.15
! Size of the total moment in μB per formula unit: 0.00
! VASP energy in eV/f.u.: -35.459
! Calculated formation energy in kJ/mol of atoms: -22.3
&SYSTEM
  ibrav = 0, nat = 5, ntyp = 3
/
ATOMIC_SPECIES
La 138.91 La.upf
Nb 92.91 Nb.upf
Ge 72.64 Ge.upf
CELL_PARAMETERS angstrom
-2.4899 2.4899 4.4652
2.4899 -2.4899 4.4652
2.4899 2.4899 -4.4652
ATOMIC_POSITIONS crystal
La 0.0000 0.0000 0.0000
Nb 0.3562 0.3562 0.0000
Nb 0.6438 0.6438 0.0000
Ge 0.2500 0.7500 0.5000
Ge 0.7500 0.2500 0.5000